DFT (PBE) results for crystalline Pm2Sm3ScS6 at its relaxed geometry.

Cell: 3.9585 7.9827 8.8557 Å, 102.91 102.91 90.00°
With the nearest neighbours (Å) after each atom.
Positions (direct):
S  0.3412  0.9221  0.6824  1 Sc 2.67, 3 Sm 2.81-2.88, 2 Pm 2.82
Pm  0.1662  0.3336  0.3324  6 S 2.82-2.83
Sm  0.1697  0.8347  0.3394  6 S 2.80-2.88
S  0.6588  0.0779  0.3176  1 Sc 2.67, 3 Sm 2.81-2.88, 2 Pm 2.82
S  0.6660  0.5849  0.3321  3 Sm 2.79-2.80, 3 Pm 2.82
Pm  0.8338  0.6664  0.6676  6 S 2.82-2.83
Sm  0.8303  0.1653  0.6606  6 S 2.80-2.88
Sm  0.5000  0.5000  0.0000  6 S 2.79-2.91
S  0.9978  0.2322  0.9956  2 Sc 2.72, 3 Sm 2.82-2.91, 1 Pm 2.83
Sc  0.5000  0.0000  0.0000  6 S 2.67-2.72
S  0.0022  0.7678  0.0044  2 Sc 2.72, 3 Sm 2.82-2.91, 1 Pm 2.83
S  0.3340  0.4151  0.6679  3 Sm 2.79-2.80, 3 Pm 2.82

Computed properties:
Its final energy is -78.51 eV/f.u. For the total magnetic moment, the calculation gives 0.00 μB per atom. The density of states at the Fermi level is 0.47 states/eV per atom.

---

DFT (PBE) results for crystalline SrPmSc4S8 at its relaxed geometry.

Cell: 7.7983 7.7983 7.9964 Å, 60.82 60.82 60.00°
With the nearest neighbours (Å) after each atom.
Positions (direct):
Sc  0.0013  0.0013  0.5023  6 S 2.54-2.73
S  0.7471  0.2357  0.2700  3 Sc 2.50-2.72
Sr  0.3694  0.3694  0.8917  4 S 2.74-2.75
Pm  0.0015  0.0015  0.9955  6 S 2.76-2.85
S  0.2357  0.7471  0.2700  3 Sc 2.50-2.72
S  0.2307  0.2307  0.3080  3 Sc 2.57, 1 Sr 2.75
Sc  0.4950  0.0013  0.5023  6 S 2.54-2.73
S  0.7471  0.7471  0.2700  3 Sc 2.50-2.72
Sc  0.6260  0.6260  0.1220  4 S 2.50-2.60
S  0.7954  0.2462  0.7123  2 Sc 2.54, 1 Sr 2.74, 1 Pm 2.76
Sc  0.0013  0.4950  0.5023  6 S 2.54-2.73
S  0.2462  0.7954  0.7123  2 Sc 2.54, 1 Sr 2.74, 1 Pm 2.76
S  0.7571  0.7571  0.7288  4 Sc 2.60-2.73
S  0.2462  0.2462  0.7123  2 Sc 2.54, 1 Sr 2.74, 1 Pm 2.76

Computed properties:
Its final energy is -90.73 eV/f.u. For the total magnetic moment, the calculation gives 0.00 μB per atom. The density of states at the Fermi level is 0.40 states/eV per atom.

---

DFT (PBE) results for crystalline TbPmSc2S6 at its relaxed geometry.

Cell: 6.7774 6.7774 7.1109 Å, 61.55 61.55 60.00°
With the nearest neighbours (Å) after each atom.
Positions (direct):
Sc  0.5139  0.5137  0.4585  6 S 2.57-2.63
S  0.1460  0.3756  0.7409  2 Sc 2.56-2.63, 1 Pm 2.78, 1 Tb 2.79
Tb  0.3113  0.3113  0.0661  6 S 2.74-2.80
S  0.3755  0.7375  0.7409  2 Sc 2.56-2.63, 1 Pm 2.78, 1 Tb 2.80
S  0.2378  0.8872  0.2406  2 Sc 2.57-2.63, 1 Tb 2.74
S  0.8873  0.6343  0.2406  2 Sc 2.57-2.63, 1 Tb 2.74
S  0.7375  0.1459  0.7410  2 Sc 2.56-2.63, 1 Pm 2.78, 1 Tb 2.80
Pm  0.8063  0.8063  0.5811  6 S 2.78-2.88
S  0.6343  0.2378  0.2406  2 Sc 2.57-2.63, 1 Tb 2.74
Sc  0.0116  0.0118  0.9649  6 S 2.56-2.63

Computed properties:
Its final energy is -66.35 eV/f.u. For the total magnetic moment, the calculation gives 0.00 μB per atom. The density of states at the Fermi level is 0.00 states/eV per atom.

---

DFT (PBE) results for crystalline TbPm2ScS4 at its relaxed geometry.

Cell: 3.8780 6.7627 6.9016 Å, 108.86 90.00 90.00°
With the nearest neighbours (Å) after each atom.
Positions (direct):
Pm  0.0000  0.5000  0.5000  6 S 2.89
Tb  0.5000  0.5000  0.0000  6 S 2.74
S  0.5000  0.2341  0.2278  2 Sc 2.67, 1 Tb 2.74, 3 Pm 2.82-2.89
Pm  0.5000  0.0000  0.5000  6 S 2.82
S  0.5000  0.7659  0.7722  2 Sc 2.67, 1 Tb 2.74, 3 Pm 2.82-2.89
Sc  0.0000  0.0000  0.0000  6 S 2.67
S  0.0000  0.2472  0.7662  1 Sc 2.67, 2 Tb 2.74, 3 Pm 2.82-2.89
S  0.0000  0.7528  0.2338  1 Sc 2.67, 2 Tb 2.74, 3 Pm 2.82-2.89

Computed properties:
Its final energy is -52.72 eV/f.u. For the total magnetic moment, the calculation gives 0.00 μB per atom. The density of states at the Fermi level is 0.57 states/eV per atom.

---

DFT (PBE) results for crystalline Tb2PmScS6 at its relaxed geometry.

Cell: 6.8841 6.8841 7.3053 Å, 61.88 61.88 59.99°
With the nearest neighbours (Å) after each atom.
Positions (direct):
Tb  0.5206  0.5205  0.4384  6 S 2.74-2.80
S  0.9386  0.5957  0.2486  1 Sc 2.60, 2 Tb 2.74-2.80, 1 Pm 2.88
Tb  0.0153  0.0154  0.9540  6 S 2.71-2.80
S  0.5957  0.2173  0.2485  1 Sc 2.60, 2 Tb 2.74-2.80, 1 Pm 2.88
S  0.4086  0.7064  0.7582  1 Sc 2.64, 2 Tb 2.71-2.80, 1 Pm 2.76
S  0.7064  0.1266  0.7583  1 Sc 2.64, 2 Tb 2.71-2.80, 1 Pm 2.76
Pm  0.8125  0.8126  0.5622  6 S 2.76-2.88
Sc  0.3199  0.3199  0.0402  6 S 2.60-2.64
S  0.2172  0.9385  0.2485  1 Sc 2.60, 2 Tb 2.74-2.80, 1 Pm 2.88
S  0.1267  0.4087  0.7583  1 Sc 2.64, 2 Tb 2.71-2.80, 1 Pm 2.76

Computed properties:
Its final energy is -65.01 eV/f.u. For the total magnetic moment, the calculation gives 0.00 μB per atom. The density of states at the Fermi level is 0.00 states/eV per atom.

---

DFT (PBE) results for crystalline Tb4Pm3ScS8 at its relaxed geometry.

Cell: 7.8925 7.8893 7.8921 Å, 120.01 120.00 90.00°
With the nearest neighbours (Å) after each atom.
Positions (direct):
Pm  0.5000  0.5000  0.0000  6 S 2.83
S  0.2466  0.2397  0.4931  3 Tb 2.75, 3 Pm 2.83
S  0.2374  0.2492  0.9933  1 Sc 2.72, 3 Tb 2.75-2.86, 2 Pm 2.83
Tb  0.5000  0.0000  0.5000  6 S 2.75
Tb  0.0000  0.0000  0.5000  6 S 2.75
S  0.7626  0.7508  0.0067  1 Sc 2.72, 3 Tb 2.75-2.86, 2 Pm 2.83
S  0.2441  0.7508  0.0067  1 Sc 2.72, 3 Tb 2.75-2.86, 2 Pm 2.83
S  0.7559  0.2491  0.5117  1 Sc 2.72, 3 Tb 2.75-2.86, 2 Pm 2.83
Pm  0.5000  0.5000  0.5000  6 S 2.83
Pm  0.0000  0.5000  0.5000  6 S 2.83
S  0.2441  0.7509  0.4883  1 Sc 2.72, 3 Tb 2.75-2.86, 2 Pm 2.83
S  0.7559  0.2492  0.9933  1 Sc 2.72, 3 Tb 2.75-2.86, 2 Pm 2.83
Sc  0.0000  0.5000  0.0000  6 S 2.72
Tb  0.5000  0.0000  0.0000  6 S 2.86
S  0.7534  0.7603  0.5069  3 Tb 2.75, 3 Pm 2.83
Tb  0.0000  0.0000  0.0000  6 S 2.75

Computed properties:
Its final energy is -103.79 eV/f.u. For the total magnetic moment, the calculation gives 0.00 μB per atom. The density of states at the Fermi level is 0.58 states/eV per atom.

---

DFT (PBE) results for crystalline Tb3Pm2ScS6 at its relaxed geometry.

Cell: 3.9199 7.8977 8.7650 Å, 102.86 102.92 90.00°
With the nearest neighbours (Å) after each atom.
Positions (direct):
S  0.6641  0.5891  0.3283  3 Tb 2.73-2.74, 3 Pm 2.82
S  0.3359  0.4109  0.6717  3 Tb 2.73-2.74, 3 Pm 2.82
S  0.6607  0.0739  0.3214  1 Sc 2.67, 3 Tb 2.75-2.82, 2 Pm 2.82
S  0.9965  0.2367  0.9930  2 Sc 2.72, 3 Tb 2.77-2.85, 1 Pm 2.83
Sc  0.5000  0.0000  0.0000  6 S 2.67-2.72
Pm  0.8334  0.6661  0.6668  6 S 2.82-2.83
S  0.0035  0.7633  0.0070  2 Sc 2.72, 3 Tb 2.77-2.85, 1 Pm 2.83
Tb  0.1697  0.8344  0.3393  6 S 2.74-2.82
S  0.3393  0.9261  0.6786  1 Sc 2.67, 3 Tb 2.75-2.82, 2 Pm 2.82
Tb  0.5000  0.5000  0.0000  6 S 2.73-2.85
Tb  0.8303  0.1656  0.6607  6 S 2.74-2.82
Pm  0.1666  0.3339  0.3332  6 S 2.82-2.83

Computed properties:
Its final energy is -78.19 eV/f.u. For the total magnetic moment, the calculation gives 0.00 μB per atom. The density of states at the Fermi level is 0.46 states/eV per atom.

---

DFT (PBE) results for crystalline Tb4PmScS8 at its relaxed geometry.

Cell: 8.0298 8.0298 8.0539 Å, 60.10 60.10 60.00°
With the nearest neighbours (Å) after each atom.
Positions (direct):
S  0.7527  0.2525  0.7423  1 Sc 2.48, 2 Tb 2.77
S  0.7549  0.7549  0.2642  3 Tb 2.62-2.78, 1 Pm 2.84
Tb  0.4897  0.0033  0.5037  6 S 2.77-2.79
Tb  0.0033  0.0033  0.5037  6 S 2.77-2.79
Pm  0.0036  0.0036  0.9893  6 S 2.83-2.84
S  0.2260  0.7549  0.2642  3 Tb 2.62-2.78, 1 Pm 2.84
S  0.2525  0.2525  0.7423  1 Sc 2.48, 2 Tb 2.77
S  0.7549  0.2260  0.2642  3 Tb 2.62-2.78, 1 Pm 2.84
S  0.2478  0.2478  0.2566  1 Sc 2.51, 3 Tb 2.78
S  0.7589  0.7589  0.7233  4 Tb 2.64-2.79
Tb  0.0033  0.4897  0.5037  6 S 2.77-2.79
Sc  0.3746  0.3746  0.8761  4 S 2.48-2.51
S  0.2525  0.7527  0.7423  1 Sc 2.48, 2 Tb 2.77
Tb  0.6253  0.6253  0.1241  4 S 2.62-2.64

Computed properties:
Its final energy is -89.49 eV/f.u. For the total magnetic moment, the calculation gives 0.06 μB per atom. The density of states at the Fermi level is 0.41 states/eV per atom.

---

DFT (PBE) results for crystalline TbPmSc2S4 at its relaxed geometry.

Cell: 3.7940 6.7286 6.6226 Å, 71.05 90.00 90.00°
With the nearest neighbours (Å) after each atom.
Positions (direct):
S  0.0000  0.7748  0.7372  3 Sc 2.61-2.65, 1 Tb 2.79, 2 Pm 2.82
Pm  0.5000  0.5000  0.0000  6 S 2.82
S  0.5000  0.2285  0.7530  3 Sc 2.62-2.65, 2 Tb 2.78, 1 Pm 2.82
S  0.0000  0.2252  0.2628  3 Sc 2.61-2.65, 1 Tb 2.79, 2 Pm 2.82
Tb  0.0000  0.5000  0.5000  6 S 2.78-2.79
Sc  0.5000  0.0000  0.5000  6 S 2.61-2.62
S  0.5000  0.7715  0.2470  3 Sc 2.62-2.65, 2 Tb 2.78, 1 Pm 2.82
Sc  0.0000  0.0000  0.0000  6 S 2.65

Computed properties:
Its final energy is -53.97 eV/f.u. For the total magnetic moment, the calculation gives 0.00 μB per atom. The density of states at the Fermi level is 0.58 states/eV per atom.

---

DFT (PBE) results for crystalline PmThSc2S4 at its relaxed geometry.

Cell: 3.8129 6.8368 6.6313 Å, 71.21 90.00 90.00°
With the nearest neighbours (Å) after each atom.
Positions (direct):
Sc  0.0000  0.0000  0.0000  6 S 2.62-2.63
Th  0.0000  0.5000  0.5000  6 S 2.85-2.86
S  0.0000  0.7792  0.7405  3 Sc 2.63, 2 Pm 2.85, 1 Th 2.85
Sc  0.5000  0.0000  0.5000  6 S 2.63
Pm  0.5000  0.5000  0.0000  6 S 2.85
S  0.5000  0.7803  0.2391  3 Sc 2.62-2.63, 1 Pm 2.85, 2 Th 2.86
S  0.5000  0.2197  0.7609  3 Sc 2.62-2.63, 1 Pm 2.85, 2 Th 2.86
S  0.0000  0.2208  0.2595  3 Sc 2.63, 2 Pm 2.85, 1 Th 2.85

Computed properties:
Its final energy is -56.33 eV/f.u. For the total magnetic moment, the calculation gives 0.00 μB per atom. The density of states at the Fermi level is 0.44 states/eV per atom.

---

| no. | uncorrected formation energy (meV/atom) |
| --- | --- |
| 1 | -1980 |
| 2 | -1854 |
| 3 | -1954 |
| 4 | -1968 |
| 5 | -1990 |
| 6 | -1979 |
| 7 | -1975 |
| 8 | -1919 |
| 9 | -1927 |
| 10 | -1874 |